Ta2Ni | PBE | optimized geometry

a = 6.890 Å, b = 6.890 Å, c = 3.506 Å
α = 90.00°, β = 90.00°, γ = 120.00°
Fractional positions:
1 Ni 0.667 0.333 0.000
2 Ni 0.333 0.667 0.000
3 Ni 0.000 0.000 0.500
4 Ta 0.000 0.594 0.500
5 Ta 0.000 0.261 0.000
6 Ta 0.594 0.000 0.500
7 Ta 0.406 0.406 0.500
8 Ta 0.261 0.000 0.000
9 Ta 0.739 0.739 0.000

## Properties
ΔE_f, eV per formula unit: -0.1
VASP energy, eV for the cell shown: -88.886